one.
# Tl2PtSe (PBEsol, optimized geometry)
data_Tl2PtSe
_cell_length_a 3.063
_cell_length_b 5.733
_cell_length_c 6.148
_cell_angle_alpha 117.79
_cell_angle_beta 104.42
_cell_angle_gamma 90.00
_space_group_name_H-M_alt 'P 1'
_space_group_IT_number 1
_space_group_name_Hall 'P 1'
loop_
_atom_site_label
_atom_site_type_symbol
_atom_site_fract_x
_atom_site_fract_y
_atom_site_fract_z
_atom_site_occupancy
Pt1 Pt 0.518 0.518 0.037 1
Tl1 Tl 0.996 0.996 0.991 1
Se1 Se 0.205 0.705 0.409 1
Tl2 Tl 0.782 0.282 0.563 1
# - Total magnetization: 0.000 μB per atom
# - Space group: No. 44

two.
# Tl2PtSe (PBEsol, optimized geometry)
data_Tl2PtSe
_cell_length_a 4.206
_cell_length_b 4.206
_cell_length_c 4.934
_cell_angle_alpha 90.00
_cell_angle_beta 90.00
_cell_angle_gamma 90.00
_space_group_name_H-M_alt 'P 1'
_space_group_IT_number 1
_space_group_name_Hall 'P 1'
loop_
_atom_site_label
_atom_site_type_symbol
_atom_site_fract_x
_atom_site_fract_y
_atom_site_fract_z
_atom_site_occupancy
Tl1 Tl 0.500 0.000 0.000 1
Tl2 Tl 0.000 0.500 0.000 1
Se1 Se 0.000 0.000 0.500 1
Pt1 Pt 0.500 0.500 0.500 1
# - Total magnetization: 0.000 μB per atom
# - Space group: No. 123

Verdict on stability: one comes out on top.

one.
# ZrPtSe2 (PBEsol, optimized geometry)
data_ZrPtSe2
_cell_length_a 4.640
_cell_length_b 4.640
_cell_length_c 4.640
_cell_angle_alpha 60.00
_cell_angle_beta 60.00
_cell_angle_gamma 60.00
_space_group_name_H-M_alt 'P 1'
_space_group_IT_number 1
_space_group_name_Hall 'P 1'
loop_
_atom_site_label
_atom_site_type_symbol
_atom_site_fract_x
_atom_site_fract_y
_atom_site_fract_z
_atom_site_occupancy
Zr1 Zr 0.500 0.500 0.500 1
Se1 Se 0.750 0.750 0.750 1
Se2 Se 0.250 0.250 0.250 1
Pt1 Pt 0.000 0.000 0.000 1
# - Total magnetization: 0.000 μB per atom
# - Space group: No. 225

two.
# ZrPtSe2 (PBEsol, optimized geometry)
data_ZrPtSe2
_cell_length_a 4.692
_cell_length_b 4.692
_cell_length_c 4.692
_cell_angle_alpha 60.00
_cell_angle_beta 60.00
_cell_angle_gamma 60.00
_space_group_name_H-M_alt 'P 1'
_space_group_IT_number 1
_space_group_name_Hall 'P 1'
loop_
_atom_site_label
_atom_site_type_symbol
_atom_site_fract_x
_atom_site_fract_y
_atom_site_fract_z
_atom_site_occupancy
Se1 Se 0.000 0.000 0.000 1
Se2 Se 0.750 0.750 0.750 1
Zr1 Zr 0.250 0.250 0.250 1
Pt1 Pt 0.500 0.500 0.500 1
# - Total magnetization: 0.000 μB per atom
# - Space group: No. 216

Verdict on stability: one comes out on top.